[1]
The following is a PBE calculation of a geometry-optimized Cd2CoRh structure, from the Alexandria database.

Properties
N(E_F) ... 23.86 states/eV/cell
Energy of formation ... 216 meV per atom

```
data_Cd2CoRh
_chemical_formula_sum 'Cd8 Co4 Rh4'
_cell_length_a 6.395
_cell_length_b 6.395
_cell_length_c 6.395
_cell_angle_alpha 90.00
_cell_angle_beta 90.00
_cell_angle_gamma 90.00
_symmetry_space_group_name_H-M 'F -4 3 m'
_symmetry_Int_Tables_number 216
_symmetry_space_group_name_Hall 'F -4 2 3'
loop_
_atom_site_label
_atom_site_fract_x
_atom_site_fract_y
_atom_site_fract_z
Cd1 0.000 0.000 0.000
Cd2 0.250 0.250 0.250
Co1 0.000 0.000 0.500
Rh1 0.250 0.250 0.750
```

***

[2]
The following is a PBE calculation of a geometry-optimized KAgPdF6 structure, from the Alexandria database.

Properties
Formation energy (no corrections) ... -1.668 eV per atom

```
data_KAgPdF6
_chemical_formula_sum 'K2 Ag2 Pd2 F12'
_cell_length_a 6.042
_cell_length_b 10.480
_cell_length_c 5.145
_cell_angle_alpha 90.00
_cell_angle_beta 90.06
_cell_angle_gamma 90.00
_symmetry_space_group_name_H-M 'C 1 2 1'
_symmetry_Int_Tables_number 5
_symmetry_space_group_name_Hall 'C 2y'
loop_
_atom_site_label
_atom_site_fract_x
_atom_site_fract_y
_atom_site_fract_z
K1 0.000 0.000 0.000
Ag1 0.000 0.334 0.500
Pd1 0.000 0.667 0.500
F1 0.130 0.528 0.293
F2 0.143 0.801 0.293
F3 0.226 0.171 0.293
```

***

[3]
The following is a PBE calculation of a geometry-optimized K2PmThS4 structure, from the Alexandria database.

Properties
Formation energy (no corrections) ... -1.770 eV per atom
N(E_F) ... 4.21 states/eV/cell

```
data_K2PmThS4
_chemical_formula_sum 'K2 Pm1 Th1 S4'
_cell_length_a 7.154
_cell_length_b 4.141
_cell_length_c 7.806
_cell_angle_alpha 90.00
_cell_angle_beta 107.74
_cell_angle_gamma 90.00
_symmetry_space_group_name_H-M 'P 1 2/m 1'
_symmetry_Int_Tables_number 10
_symmetry_space_group_name_Hall '-P 2y'
loop_
_atom_site_label
_atom_site_fract_x
_atom_site_fract_y
_atom_site_fract_z
K1 0.000 0.000 0.000
K2 0.500 0.500 0.000
Pm1 0.000 0.500 0.500
Th1 0.500 0.000 0.500
S1 0.241 0.000 0.710
S2 0.266 0.500 0.289
```

***

[4]
The following is a PBE calculation of a geometry-optimized EuHo2Pb structure, from the Alexandria database.

Properties
Excess energy over the best structure of this formula in the dataset ... 0.098 eV/atom
N(E_F) ... 4.39 states/eV/cell
Energy of formation ... -147 meV per atom

```
data_EuHo2Pb
_chemical_formula_sum 'Eu1 Ho2 Pb1'
_cell_length_a 3.619
_cell_length_b 3.619
_cell_length_c 9.728
_cell_angle_alpha 90.00
_cell_angle_beta 90.00
_cell_angle_gamma 90.00
_symmetry_space_group_name_H-M 'P 4/m m m'
_symmetry_Int_Tables_number 123
_symmetry_space_group_name_Hall '-P 4 2'
loop_
_atom_site_label
_atom_site_fract_x
_atom_site_fract_y
_atom_site_fract_z
Eu1 0.000 0.000 0.000
Ho1 0.500 0.500 0.281
Pb1 0.000 0.000 0.500
```

***

[5]
The following is a PBE calculation of a geometry-optimized La3HoCd structure, from the Alexandria database.

Properties
Excess energy over the best structure of this formula in the dataset ... 0.000 eV/atom
N(E_F) ... 27.77 states/eV/cell
Energy of formation ... -99 meV per atom

```
data_La3HoCd
_chemical_formula_sum 'La12 Ho4 Cd4'
_cell_length_a 13.046
_cell_length_b 3.720
_cell_length_c 13.948
_cell_angle_alpha 90.00
_cell_angle_beta 98.82
_cell_angle_gamma 90.00
_symmetry_space_group_name_H-M 'C 1 2/m 1'
_symmetry_Int_Tables_number 12
_symmetry_space_group_name_Hall '-C 2y'
loop_
_atom_site_label
_atom_site_fract_x
_atom_site_fract_y
_atom_site_fract_z
La1 0.012 0.000 0.182
La2 0.138 0.500 0.403
La3 0.215 0.500 0.769
Ho1 0.140 0.500 0.017
Cd1 0.083 0.000 0.592
```

***

[6]
The following is a PBE calculation of a geometry-optimized PuSbPd structure, from the Alexandria database.

Properties
Formation energy (no corrections) ... -0.614 eV per atom
N(E_F) ... 51.14 states/eV/cell

```
data_PuSbPd
_chemical_formula_sum 'Pu4 Sb4 Pd4'
_cell_length_a 9.619
_cell_length_b 4.604
_cell_length_c 6.668
_cell_angle_alpha 90.00
_cell_angle_beta 90.00
_cell_angle_gamma 90.00
_symmetry_space_group_name_H-M 'P n m a'
_symmetry_Int_Tables_number 62
_symmetry_space_group_name_Hall '-P 2ac 2n'
loop_
_atom_site_label
_atom_site_fract_x
_atom_site_fract_y
_atom_site_fract_z
Pu1 0.105 0.250 0.213
Sb1 0.134 0.250 0.729
Pd1 0.138 0.750 0.494
```

***

[7]
The following is a PBE calculation of a geometry-optimized HfMoPdS2 structure, from the Alexandria database.

Properties
Formation energy (no corrections) ... 0.390 eV per atom
N(E_F) ... 2.67 states/eV/cell

```
data_HfMoPdS2
_chemical_formula_sum 'Hf1 Mo1 Pd1 S2'
_cell_length_a 4.821
_cell_length_b 4.821
_cell_length_c 5.019
_cell_angle_alpha 90.00
_cell_angle_beta 90.00
_cell_angle_gamma 90.00
_symmetry_space_group_name_H-M 'P 4/m m m'
_symmetry_Int_Tables_number 123
_symmetry_space_group_name_Hall '-P 4 2'
loop_
_atom_site_label
_atom_site_fract_x
_atom_site_fract_y
_atom_site_fract_z
Hf1 0.000 0.000 0.000
Mo1 0.500 0.500 0.500
Pd1 0.000 0.000 0.500
S1 0.000 0.500 0.000
```

***

[8]
The following is a PBE calculation of a geometry-optimized Tb13Th2 structure, from the Alexandria database.

Properties
N(E_F) ... 24.33 states/eV/cell
Energy of formation ... 69 meV per atom

```
data_Tb13Th2
_chemical_formula_sum 'Tb13 Th2'
_cell_length_a 6.651
_cell_length_b 8.766
_cell_length_c 9.059
_cell_angle_alpha 69.01
_cell_angle_beta 83.77
_cell_angle_gamma 80.47
_symmetry_space_group_name_H-M 'P -1'
_symmetry_Int_Tables_number 2
_symmetry_space_group_name_Hall '-P 1'
loop_
_atom_site_label
_atom_site_fract_x
_atom_site_fract_y
_atom_site_fract_z
Tb1 0.000 0.000 0.000
Tb2 0.095 0.423 0.690
Tb3 0.136 0.198 0.266
Tb4 0.238 0.575 0.974
Tb5 0.332 0.000 0.666
Tb6 0.431 0.425 0.359
Tb7 0.468 0.196 0.935
Th1 0.201 0.809 0.396
```

***

[9]
The following is a PBE calculation of a geometry-optimized YErPaO6 structure, from the Alexandria database.

Properties
Formation energy (no corrections) ... -3.229 eV per atom
N(E_F) ... 8.98 states/eV/cell

```
data_YErPaO6
_chemical_formula_sum 'Y1 Er1 Pa1 O6'
_cell_length_a 5.7664
_cell_length_b 5.7664
_cell_length_c 4.6739
_cell_angle_alpha 90.00
_cell_angle_beta 90.00
_cell_angle_gamma 120.00
_symmetry_space_group_name_H-M 'P 3 1 2'
_symmetry_Int_Tables_number 149
_symmetry_space_group_name_Hall 'P 3 2'
loop_
_atom_site_label
_atom_site_fract_x
_atom_site_fract_y
_atom_site_fract_z
Y1 0.0000 0.0000 0.0000
Er1 0.3333 0.6667 0.0000
Pa1 0.6667 0.3333 0.5000
O1 0.3485 0.0115 0.2447
```

***

[10]
The following is a PBE calculation of a geometry-optimized Ca3Pa2FeN6 structure, from the Alexandria database.

Properties
Formation energy (no corrections) ... -1.093 eV per atom

```
data_Ca3Pa2FeN6
_chemical_formula_sum 'Ca6 Pa4 Fe2 N12'
_cell_length_a 5.876
_cell_length_b 10.188
_cell_length_c 5.980
_cell_angle_alpha 90.00
_cell_angle_beta 108.58
_cell_angle_gamma 90.00
_symmetry_space_group_name_H-M 'C 1 2/m 1'
_symmetry_Int_Tables_number 12
_symmetry_space_group_name_Hall '-C 2y'
loop_
_atom_site_label
_atom_site_fract_x
_atom_site_fract_y
_atom_site_fract_z
Ca1 0.000 0.000 0.000
Ca2 0.000 0.342 0.000
Pa1 0.000 0.167 0.500
Fe1 0.000 0.500 0.500
N1 0.237 0.000 0.719
N2 0.240 0.332 0.719
```

***

[11]
The following is a PBE calculation of a geometry-optimized TcPRh2 structure, from the Alexandria database.

Properties
N(E_F) ... 14.22 states/eV/cell
Energy of formation ... -151 meV per atom

```
data_TcPRh2
_chemical_formula_sum 'Tc3 P3 Rh6'
_cell_length_a 2.7864
_cell_length_b 2.7864
_cell_length_c 24.5833
_cell_angle_alpha 90.00
_cell_angle_beta 90.00
_cell_angle_gamma 120.00
_symmetry_space_group_name_H-M 'R -3 m'
_symmetry_Int_Tables_number 166
_symmetry_space_group_name_Hall '-R 3 2"'
loop_
_atom_site_label
_atom_site_fract_x
_atom_site_fract_y
_atom_site_fract_z
Tc1 0.0000 0.0000 0.0000
P1 0.0000 0.0000 0.5000
Rh1 0.0000 0.0000 0.2418
```

***

[12]
The following is a PBE calculation of a geometry-optimized BRh2S2 structure, from the Alexandria database.

Properties
Excess energy over the best structure of this formula in the dataset ... 0.000 eV/atom
Formation energy (no corrections) ... 0.514 eV per atom
N(E_F) ... 7.13 states/eV/cell

```
data_BRh2S2
_chemical_formula_sum 'B2 Rh4 S4'
_cell_length_a 5.497
_cell_length_b 5.497
_cell_length_c 4.614
_cell_angle_alpha 90.00
_cell_angle_beta 90.00
_cell_angle_gamma 90.00
_symmetry_space_group_name_H-M 'P 4/m b m'
_symmetry_Int_Tables_number 127
_symmetry_space_group_name_Hall '-P 4 2ab'
loop_
_atom_site_label
_atom_site_fract_x
_atom_site_fract_y
_atom_site_fract_z
B1 0.000 0.000 0.000
Rh1 0.178 0.322 0.500
S1 0.185 0.315 0.000
```

***

Please write out number 4 again, unchanged.
The following is a PBE calculation of a geometry-optimized EuHo2Pb structure, from the Alexandria database.

Properties
Excess energy over the best structure of this formula in the dataset ... 0.098 eV/atom
N(E_F) ... 4.39 states/eV/cell
Energy of formation ... -147 meV per atom

```
data_EuHo2Pb
_chemical_formula_sum 'Eu1 Ho2 Pb1'
_cell_length_a 3.619
_cell_length_b 3.619
_cell_length_c 9.728
_cell_angle_alpha 90.00
_cell_angle_beta 90.00
_cell_angle_gamma 90.00
_symmetry_space_group_name_H-M 'P 4/m m m'
_symmetry_Int_Tables_number 123
_symmetry_space_group_name_Hall '-P 4 2'
loop_
_atom_site_label
_atom_site_fract_x
_atom_site_fract_y
_atom_site_fract_z
Eu1 0.000 0.000 0.000
Ho1 0.500 0.500 0.281
Pb1 0.000 0.000 0.500
```